[1]
# KZnHg2 SCAN single point on PBEsol structure
data_KZnHg2
_chemical_formula_sum 'K1 Zn1 Hg2'
_space_group_name_H-M_alt 'P m m 2'
_space_group_IT_number 25
_cell_length_a 3.646
_cell_length_b 3.851
_cell_length_c 7.484
_cell_angle_alpha 90.00
_cell_angle_beta 90.00
_cell_angle_gamma 90.00
loop_
_space_group_symop_operation_xyz
'x,y,z'
'-x,-y,z'
'-x,y,z'
'x,-y,z'
loop_
_atom_site_label
_atom_site_fract_x
_atom_site_fract_y
_atom_site_fract_z
K1 0.000 0.000 0.000
Zn1 0.500 0.500 0.322
Hg1 0.000 0.000 0.455
Hg2 0.500 0.500 0.702
# **Energy**: -39.632 eV per atom
# **Formation energy**: -0.09 eV/atom
# **V**: 26.3 A^3/atom

=====

[2]
# ZrGa2HgPd SCAN single point on PBEsol structure
data_ZrGa2HgPd
_chemical_formula_sum 'Zr1 Ga2 Hg1 Pd1'
_space_group_name_H-M_alt 'P 4/m m m'
_space_group_IT_number 123
_space_group_name_Hall '-P 4 2'
_cell_length_a 4.781
_cell_length_b 4.781
_cell_length_c 4.928
_cell_angle_alpha 90.00
_cell_angle_beta 90.00
_cell_angle_gamma 90.00
loop_
_atom_site_label
_atom_site_fract_x
_atom_site_fract_y
_atom_site_fract_z
Zr1 0.000 0.000 0.000
Ga1 0.000 0.500 0.500
Hg1 0.500 0.500 0.500
Pd1 0.500 0.500 0.000
# **Energy**: -32.197 eV per atom
# **Formation energy**: 0.67 eV/atom
# **V**: 22.5 A^3/atom

=====

[3]
# KHgS2N SCAN single point on PBEsol structure
data_KHgS2N
_chemical_formula_sum 'K1 Hg1 S2 N1'
_space_group_name_H-M_alt 'P 4/m m m'
_space_group_IT_number 123
_space_group_name_Hall '-P 4 2'
_cell_length_a 5.117
_cell_length_b 5.117
_cell_length_c 4.316
_cell_angle_alpha 90.00
_cell_angle_beta 90.00
_cell_angle_gamma 90.00
loop_
_atom_site_label
_atom_site_fract_x
_atom_site_fract_y
_atom_site_fract_z
K1 0.000 0.000 0.000
Hg1 0.500 0.500 0.500
S1 0.000 0.500 0.500
N1 0.500 0.500 0.000
# **Energy**: -20.389 eV per atom
# **ΔE_f (raw)**: 620 meV/atom
# **V**: 22.6 A^3/atom

=====

[4]
# LiSb2Br SCAN single point on PBEsol structure
data_LiSb2Br
_chemical_formula_sum 'Li1 Sb2 Br1'
_space_group_name_H-M_alt 'P 4 m m'
_space_group_IT_number 99
_cell_length_a 3.647
_cell_length_b 3.647
_cell_length_c 8.875
_cell_angle_alpha 90.00
_cell_angle_beta 90.00
_cell_angle_gamma 90.00
loop_
_space_group_symop_operation_xyz
'x,y,z'
'-y,x,z'
'-x,-y,z'
'y,-x,z'
'-x,y,z'
'y,x,z'
'x,-y,z'
'-y,-x,z'
loop_
_atom_site_label
_atom_site_fract_x
_atom_site_fract_y
_atom_site_fract_z
Li1 0.000 0.000 0.000
Sb1 0.000 0.000 0.646
Sb2 0.500 0.500 0.474
Br1 0.500 0.500 0.016
# **Energy**: -24.700 eV per atom
# **ΔE_f (raw)**: -607 meV/atom
# **V**: 29.5 A^3/atom

=====

[5]
# BeNb2PdS SCAN single point on PBEsol structure
data_BeNb2PdS
_chemical_formula_sum 'Be1 Nb2 Pd1 S1'
_space_group_name_H-M_alt 'P 4/m m m'
_space_group_IT_number 123
_space_group_name_Hall '-P 4 2'
_cell_length_a 4.909
_cell_length_b 4.909
_cell_length_c 4.271
_cell_angle_alpha 90.00
_cell_angle_beta 90.00
_cell_angle_gamma 90.00
loop_
_atom_site_label
_atom_site_fract_x
_atom_site_fract_y
_atom_site_fract_z
Be1 0.000 0.000 0.000
Nb1 0.000 0.500 0.500
Pd1 0.500 0.500 0.500
S1 0.500 0.500 0.000
# **Energy**: -21.127 eV per atom
# **ΔE_f (raw)**: 1476 meV/atom
# **V**: 20.6 A^3/atom

=====

[6]
# Ce2SnS5 SCAN single point on PBEsol structure
data_Ce2SnS5
_chemical_formula_sum 'Ce4 Sn2 S10'
_space_group_name_H-M_alt 'P b a m'
_space_group_IT_number 55
_cell_length_a 7.531
_cell_length_b 11.118
_cell_length_c 3.961
_cell_angle_alpha 90.00
_cell_angle_beta 90.00
_cell_angle_gamma 90.00
loop_
_space_group_symop_operation_xyz
'x,y,z'
'-x,-y,-z'
'-x,-y,z'
'x,y,-z'
'x+1/2,-y+1/2,-z'
'-x+1/2,y+1/2,z'
'-x+1/2,y+1/2,-z'
'x+1/2,-y+1/2,z'
loop_
_atom_site_label
_atom_site_fract_x
_atom_site_fract_y
_atom_site_fract_z
Ce1 0.058 0.170 0.000
Sn1 0.000 0.500 0.500
S1 0.000 0.000 0.500
S2 0.161 0.705 0.500
S3 0.189 0.417 0.000
# **Energy**: -23.271 eV per atom
# **ΔE_f (raw)**: -1623 meV/atom
# **V**: 20.7 A^3/atom

=====

[7]
# MnCu2Re SCAN single point on PBEsol structure
data_MnCu2Re
_chemical_formula_sum 'Mn1 Cu2 Re1'
_space_group_name_H-M_alt 'P 1 2/m 1'
_space_group_IT_number 10
_cell_length_a 4.368
_cell_length_b 2.591
_cell_length_c 4.578
_cell_angle_alpha 90.00
_cell_angle_beta 108.21
_cell_angle_gamma 90.00
loop_
_space_group_symop_operation_xyz
'x,y,z'
'-x,-y,-z'
'-x,y,-z'
'x,-y,z'
loop_
_atom_site_label
_atom_site_fract_x
_atom_site_fract_y
_atom_site_fract_z
Mn1 0.000 0.000 0.000
Cu1 0.000 0.500 0.500
Cu2 0.500 0.000 0.500
Re1 0.500 0.500 0.000
# **Energy**: -29.757 eV per atom
# **Formation energy**: 0.18 eV/atom
# **V**: 12.3 A^3/atom

=====

[8]
# SiTcH2I SCAN single point on PBEsol structure
data_SiTcH2I
_chemical_formula_sum 'Si1 Tc1 H2 I1'
_space_group_name_H-M_alt 'P 4/m m m'
_space_group_IT_number 123
_space_group_name_Hall '-P 4 2'
_cell_length_a 3.808
_cell_length_b 3.808
_cell_length_c 5.150
_cell_angle_alpha 90.00
_cell_angle_beta 90.00
_cell_angle_gamma 90.00
loop_
_atom_site_label
_atom_site_fract_x
_atom_site_fract_y
_atom_site_fract_z
Si1 0.000 0.000 0.000
Tc1 0.500 0.500 0.500
H1 0.000 0.500 0.500
I1 0.500 0.500 0.000
# **Energy**: -16.680 eV per atom
# **V**: 14.9 A^3/atom

=====

[9]
# MgSbTe2W SCAN single point on PBEsol structure
data_MgSbTe2W
_chemical_formula_sum 'Mg1 Sb1 Te2 W1'
_space_group_name_H-M_alt 'P 4/m m m'
_space_group_IT_number 123
_space_group_name_Hall '-P 4 2'
_cell_length_a 5.248
_cell_length_b 5.248
_cell_length_c 5.116
_cell_angle_alpha 90.00
_cell_angle_beta 90.00
_cell_angle_gamma 90.00
loop_
_atom_site_label
_atom_site_fract_x
_atom_site_fract_y
_atom_site_fract_z
Mg1 0.000 0.000 0.000
Sb1 0.000 0.000 0.500
Te1 0.000 0.500 0.000
W1 0.500 0.500 0.500
# **Energy**: -35.830 eV per atom
# **ΔE_f (raw)**: 1455 meV/atom
# **V**: 28.2 A^3/atom

=====

[10]
# Cs2KFeF6 SCAN single point on PBEsol structure
data_Cs2KFeF6
_chemical_formula_sum 'Cs8 K4 Fe4 F24'
_space_group_name_H-M_alt 'F m -3 m'
_space_group_IT_number 225
_space_group_name_Hall '-F 4 2 3'
_cell_length_a 8.840
_cell_length_b 8.840
_cell_length_c 8.840
_cell_angle_alpha 90.00
_cell_angle_beta 90.00
_cell_angle_gamma 90.00
loop_
_atom_site_label
_atom_site_fract_x
_atom_site_fract_y
_atom_site_fract_z
Cs1 0.250 0.250 0.250
K1 0.000 0.000 0.000
Fe1 0.000 0.000 0.500
F1 0.000 0.000 0.289
# **Energy**: -15.111 eV per atom
# **ΔE_f (raw)**: -2779 meV/atom
# **V**: 17.3 A^3/atom

=====

[11]
# MgBe2Ir SCAN single point on PBEsol structure
data_MgBe2Ir
_chemical_formula_sum 'Mg1 Be2 Ir1'
_space_group_name_H-M_alt 'P 4 m m'
_space_group_IT_number 99
_cell_length_a 2.902
_cell_length_b 2.902
_cell_length_c 5.910
_cell_angle_alpha 90.00
_cell_angle_beta 90.00
_cell_angle_gamma 90.00
loop_
_space_group_symop_operation_xyz
'x,y,z'
'-y,x,z'
'-x,-y,z'
'y,-x,z'
'-x,y,z'
'y,x,z'
'x,-y,z'
'-y,-x,z'
loop_
_atom_site_label
_atom_site_fract_x
_atom_site_fract_y
_atom_site_fract_z
Mg1 0.000 0.000 0.000
Be1 0.000 0.000 0.512
Be2 0.500 0.500 0.313
Ir1 0.500 0.500 0.693
# **Energy**: -21.505 eV per atom
# **Formation energy**: -0.31 eV/atom
# **V**: 12.4 A^3/atom

=====

[12]
# NaAg3P SCAN single point on PBEsol structure
data_NaAg3P
_chemical_formula_sum 'Na1 Ag3 P1'
_space_group_name_H-M_alt 'P m -3 m'
_space_group_IT_number 221
_space_group_name_Hall '-P 4 2 3'
_cell_length_a 4.711
_cell_length_b 4.711
_cell_length_c 4.711
_cell_angle_alpha 90.00
_cell_angle_beta 90.00
_cell_angle_gamma 90.00
loop_
_atom_site_label
_atom_site_fract_x
_atom_site_fract_y
_atom_site_fract_z
Na1 0.000 0.000 0.000
Ag1 0.000 0.000 0.500
P1 0.500 0.500 0.500
# **Energy**: -20.599 eV per atom
# **Formation energy**: 1.14 eV/atom
# **V**: 20.9 A^3/atom

=====

What is the formula in the fourth record?
LiSb2Br